Record 1
# Pu3ReN6

Crystalline Pu3ReN6 at its relaxed geometry (GGA-PBE, OQMD via LeMat-Bulk).

Cell and atoms, written as POSCAR:
```
Pu3ReN6
1.0
0.039 1.910 -6.998
-6.759 1.519 2.152
1.573 5.039 1.384
N Pu Re
12 6 2
Direct
0.604 0.079 0.680
0.396 0.921 0.180
0.455 0.545 0.141
0.167 0.147 0.709
0.833 0.853 0.209
0.921 0.396 0.680
0.147 0.167 0.209
0.290 0.710 0.673
0.710 0.290 0.173
0.079 0.604 0.180
0.545 0.455 0.641
0.853 0.833 0.709
0.404 0.198 0.968
0.198 0.404 0.468
0.802 0.596 0.968
0.898 0.102 0.942
0.102 0.898 0.442
0.596 0.802 0.468
0.304 0.696 0.014
0.696 0.304 0.514
```

The raw total energy is -11.453 eV/atom. The space-group type is Cmc2_1. For the total magnetization, the calculation gives 13.014 μB/f.u.

---

Record 2
# PmAlIn

Crystalline PmAlIn at its relaxed geometry (GGA-PBE, OQMD via LeMat-Bulk).

Cell and atoms, written as POSCAR:
```
PmAlIn
1.0
0.000 3.561 3.561
3.561 0.000 3.561
3.561 3.561 0.000
In Pm Al
1 1 1
Direct
0.750 0.750 0.750
0.000 0.000 0.000
0.250 0.250 0.250
```

The calculation puts the energy above the most stable polymorph in this dataset at 368 meV per atom. The space-group type is F-43m. For the total magnetization, the calculation gives 0.002 μB/f.u.

---

Record 3
# La2GaPd6

Crystalline La2GaPd6 at its relaxed geometry (GGA-PBE, OQMD via LeMat-Bulk).

Cell and atoms, written as POSCAR:
```
La2GaPd6
1.0
5.828 0.000 0.000
-2.914 5.047 0.000
0.000 0.000 5.970
Pd Ga La
6 1 2
Direct
0.657 0.829 0.309
0.171 0.343 0.309
0.829 0.171 0.691
0.343 0.171 0.691
0.171 0.829 0.309
0.829 0.657 0.691
0.000 0.000 0.000
0.333 0.667 0.801
0.667 0.333 0.199
```

The raw total energy is -5.720 eV/atom. The space-group type is P-3m1. For the total magnetization, the calculation gives 0.001 μB/f.u.

---

Record 4
# CsDySO

Crystalline CsDySO at its relaxed geometry (GGA-PBE, OQMD via LeMat-Bulk).

Cell and atoms, written as POSCAR:
```
CsDySO
1.0
8.194 0.000 -0.324
0.000 7.331 0.000
-1.279 0.000 6.564
Cs O Dy S
4 4 4 4
Direct
0.920 0.237 0.501
0.920 0.263 0.001
0.080 0.763 0.499
0.080 0.737 0.999
0.403 0.644 0.881
0.403 0.856 0.381
0.597 0.356 0.119
0.597 0.144 0.619
0.480 0.372 0.777
0.520 0.628 0.223
0.520 0.872 0.723
0.480 0.128 0.277
0.725 0.903 0.139
0.725 0.597 0.639
0.275 0.097 0.861
0.275 0.403 0.361
```

The calculation puts the energy above the most stable polymorph in this dataset at 0 meV per atom. The space-group type is P2_1/c. For the total magnetization, the calculation gives 0.000 μB/f.u.

---

Record 5
# TcSn2Te

Crystalline TcSn2Te at its relaxed geometry (GGA-PBE, OQMD via LeMat-Bulk).

Cell and atoms, written as POSCAR:
```
TcSn2Te
1.0
0.000 3.528 3.528
3.528 0.000 3.528
3.528 3.528 0.000
Sn Te Tc
2 1 1
Direct
0.500 0.500 0.500
0.250 0.250 0.250
0.750 0.750 0.750
0.000 0.000 0.000
```

The raw total energy is -4.873 eV/atom. The space-group type is F-43m. For the total magnetization, the calculation gives 0.011 μB/f.u.

---

Record 6
# ZrInAsO

Crystalline ZrInAsO at its relaxed geometry (GGA-PBE, OQMD via LeMat-Bulk).

Cell and atoms, written as POSCAR:
```
ZrInAsO
1.0
3.917 0.000 0.000
0.000 8.824 0.000
0.000 0.000 6.107
O In Zr As
2 2 2 2
Direct
0.500 0.955 0.328
0.500 0.045 0.828
0.000 0.647 0.457
0.000 0.353 0.957
0.500 0.130 0.529
0.500 0.870 0.029
0.000 0.319 0.440
0.000 0.681 0.940
```

The calculation puts the energy above the most stable polymorph in this dataset at 42 meV per atom. The space-group type is Pmc2_1. For the total magnetization, the calculation gives 0.009 μB/f.u.

---

Record 7
# LuFe2Ge

Crystalline LuFe2Ge at its relaxed geometry (GGA-PBE, OQMD via LeMat-Bulk).

Cell and atoms, written as POSCAR:
```
LuFe2Ge
1.0
0.000 3.170 3.170
3.170 0.000 3.170
3.170 3.170 0.000
Lu Fe Ge
1 2 1
Direct
0.250 0.250 0.250
0.750 0.750 0.750
0.000 0.000 0.000
0.500 0.500 0.500
```

The raw total energy is -6.498 eV/atom. The space-group type is F-43m. For the total magnetization, the calculation gives 4.977 μB/f.u.

---

Record 8
# SrAlW

Crystalline SrAlW at its relaxed geometry (GGA-PBE, OQMD via LeMat-Bulk).

Cell and atoms, written as POSCAR:
```
SrAlW
1.0
-1.883 -4.257 -1.256
-0.917 -3.320 3.374
-4.557 -1.058 1.165
Al W Sr
1 1 1
Direct
0.000 0.000 0.000
0.750 0.750 0.750
0.250 0.250 0.250
```

The calculation puts the energy above the most stable polymorph in this dataset at 0 meV per atom. The space-group type is F-43m. For the total magnetization, the calculation gives 2.534 μB/f.u.